1.
This record from the Alexandria database describes a relaxed CaZnSe2 crystal. The functional is PBE.

Values from the calculation:
Its calculated volume is 459.3 Å³ per cell. For the uncorrected formation energy, the calculation gives -1.203 eV per atom. As for the crystal system: tetragonal. The total magnetic moment is 0.0 μB/cell.

Lattice parameters (Å, degrees): 6.472 6.472 10.966 90.00 90.00 90.00
Space group I-42d (No. 122)
Unique sites:
Ca 0.000 0.000 0.000
Zn 0.000 0.000 0.500
Se 0.204 0.250 0.625

2.
This record from the Alexandria database describes a relaxed NiAgP2 crystal. The functional is PBE.

Values from the calculation:
Its calculated volume is 65.1 Å³ per cell. The formation enthalpy at 0 K is 0.11 eV per atom. As for the crystal system: orthorhombic. The total magnetic moment is 0.0 μB/cell. The value obtained for the excess energy over the best structure of this formula in the dataset is 185 meV per atom.

Lattice parameters (Å, degrees): 2.691 3.351 7.218 90.00 90.00 90.00
Space group Pmm2 (No. 25)
Unique sites:
Ni 0.000 0.000 0.000
Ag 0.500 0.500 0.526
P 0.000 0.000 0.307
P 0.500 0.500 0.876

3.
This record from the Alexandria database describes a relaxed V2InCl crystal. The functional is PBE.

Values from the calculation:
Its calculated volume is 320.3 Å³ per cell. For the uncorrected formation energy, the calculation gives 0.615 eV per atom. As for the crystal system: tetragonal. The total magnetic moment is 6.4 μB/cell. The value obtained for the excess energy over the best structure of this formula in the dataset is 0 meV per atom.

Lattice parameters (Å, degrees): 4.431 4.431 16.312 90.00 90.00 90.00
Space group I-42d (No. 122)
Unique sites:
V 0.096 0.250 0.125
In 0.000 0.000 0.500
Cl 0.000 0.000 0.000